No. 1
A plane-wave DFT calculation with GGA-PBEsol was carried out for Tl2MoPb2 after structural relaxation.

Output
DOS at the Fermi energy = 3.48 states/eV per cell
SG = No. 139
M_tot = 1.9 μB/f.u.
E_tot = -4.150 eV/atom
DFT formation energy = 0.86 eV/atom

a = 3.932 Å, b = 3.932 Å, c = 9.302 Å
α = 102.20°, β = 102.20°, γ = 90.00°
Last column: magnetic moment on the atom in μB.
Element x y z (fractional)
Pb: 0.585 0.585 0.169  -0.03
Pb: 0.415 0.415 0.831  -0.03
Mo: 0.000 0.000 0.000  1.72
Tl: 0.750 0.250 0.500  0.00
Tl: 0.250 0.750 0.500  0.00

No. 2
A plane-wave DFT calculation with GGA-PBEsol was carried out for Rb3Cu8Se6 after structural relaxation.

Output
DOS at the Fermi energy = 5.63 states/eV per cell
SG = No. 12
formation energy (no corrections) = -453 meV per atom
M_tot = 0.0 μB/f.u.
E_tot = -4.033 eV/atom

a = 3.935 Å, b = 9.291 Å, c = 10.110 Å
α = 106.48°, β = 90.00°, γ = 102.23°
Element x y z (fractional)
Se: 0.347 0.695 0.350
Se: 0.653 0.305 0.650
Se: 0.963 0.925 0.712
Se: 0.838 0.677 0.976
Se: 0.037 0.075 0.288
Se: 0.162 0.323 0.024
Cu: 0.516 0.031 0.635
Cu: 0.484 0.969 0.365
Cu: 0.303 0.606 0.090
Cu: 0.077 0.154 0.530
Cu: 0.697 0.394 0.910
Cu: 0.896 0.792 0.217
Cu: 0.104 0.208 0.783
Cu: 0.923 0.846 0.470
Rb: 0.308 0.616 0.695
Rb: 0.500 0.000 0.000
Rb: 0.692 0.384 0.305

No. 3
A plane-wave DFT calculation with GGA-PBEsol was carried out for ScBiSe2 after structural relaxation.

Output
DOS at the Fermi energy = 0.70 states/eV per cell
SG = No. 166
formation energy (no corrections) = -1070 meV per atom
M_tot = 0.0 μB/f.u.
E_tot = -5.718 eV/atom

a = 3.740 Å, b = 3.740 Å, c = 9.060 Å
α = 78.09°, β = 78.09°, γ = 60.00°
Element x y z (fractional)
Se: 0.108 0.108 0.675
Se: 0.892 0.892 0.325
Sc: 0.500 0.500 0.500
Bi: 0.000 0.000 0.000